# 1
A plane-wave DFT calculation with PBE-GGA was carried out for a relaxed HfGaAs2Pt crystal.

```
5
Lattice="4.670 0.000 0.000 0.000 4.670 0.000 0.000 0.000 5.077" Properties=species:S:1:pos:R:3 pbc="T T T"
Hf 0.000 0.000 0.000
Ga 0.000 0.000 2.538
As 0.000 2.335 2.538
As 2.335 0.000 2.538
Pt 2.335 2.335 0.000
```

Output
crystal system	tetragonal
DFT formation energy	0.7796	eV per atom
energy	-4.8844	eV per atom
SG	P4/mmm, No. 123

# 2
A plane-wave DFT calculation with PBE-GGA was carried out for a relaxed RbHfGaAs3 crystal.

```
12
Lattice="9.431 0.000 0.000 0.000 3.867 0.000 -4.641 0.000 9.058" Properties=species:S:1:pos:R:3 pbc="T T T"
Rb 1.031 0.967 2.311
Rb 3.758 2.900 6.747
Hf -0.974 2.900 7.915
Hf 5.763 0.967 1.143
Ga -2.021 0.967 5.581
Ga 6.811 2.900 3.477
As -2.915 0.967 7.862
As -0.443 2.900 5.115
As 3.834 2.900 1.520
As 0.956 0.967 7.538
As 5.232 0.967 3.943
As 7.705 2.900 1.197
```

Output
crystal system	monoclinic
DFT formation energy	-0.5115	eV per atom
energy	-5.1609	eV per atom
SG	P2_1/m, No. 11

# 3
A plane-wave DFT calculation with PBE-GGA was carried out for a relaxed HfGaAsSe2 crystal.

```
5
Lattice="5.184 0.000 0.000 0.000 5.184 0.000 0.000 0.000 5.224" Properties=species:S:1:pos:R:3 pbc="T T T"
Hf 0.000 0.000 0.000
Ga 2.592 2.592 2.612
As 0.000 0.000 2.612
Se 0.000 2.592 0.000
Se 2.592 0.000 0.000
```

Output
energy relative to the lowest polymorph listed for this composition	0	meV per atom
uncorrected formation energy	-0.288	eV/atom
crystal system	tetragonal
energy	-5.2082	eV per atom
SG	P4/mmm, No. 123

# 4
A plane-wave DFT calculation with PBE-GGA was carried out for a relaxed HfGaAsSe2 crystal.

```
5
Lattice="4.886 0.000 0.000 0.000 4.886 0.000 0.000 0.000 4.776" Properties=species:S:1:pos:R:3 pbc="T T T"
Hf 0.000 0.000 0.000
Ga 2.443 2.443 2.388
As 2.443 2.443 0.000
Se 0.000 2.443 2.388
Se 2.443 0.000 2.388
```

Output
energy relative to the lowest polymorph listed for this composition	646	meV per atom
uncorrected formation energy	0.358	eV/atom
crystal system	tetragonal
energy	-4.5622	eV per atom
SG	P4/mmm, No. 123

# 5
A plane-wave DFT calculation with PBE-GGA was carried out for a relaxed Hf2GaTeAs crystal.

```
5
Lattice="5.033 0.000 0.000 0.000 5.033 0.000 0.000 0.000 5.370" Properties=species:S:1:pos:R:3 pbc="T T T"
Hf 0.000 2.517 0.000
Hf 2.517 0.000 0.000
Ga 0.000 0.000 2.685
Te 2.517 2.517 2.685
As 2.517 2.517 0.000
```

Output
uncorrected formation energy	0.525	eV/atom
crystal system	tetragonal
energy	-5.6200	eV per atom
SG	P4/mmm, No. 123

# 6
A plane-wave DFT calculation with PBE-GGA was carried out for a relaxed HfTlGa2As crystal.

```
5
Lattice="5.007 0.000 0.000 0.000 5.007 0.000 0.000 0.000 5.666" Properties=species:S:1:pos:R:3 pbc="T T T"
Hf 0.000 0.000 0.000
Tl 0.000 0.000 2.833
Ga 0.000 2.504 2.833
Ga 2.504 0.000 2.833
As 2.504 2.504 0.000
```

Output
crystal system	tetragonal
DFT formation energy	1.0079	eV per atom
energy	-3.5967	eV per atom
SG	P4/mmm, No. 123

# 7
A plane-wave DFT calculation with PBE-GGA was carried out for a relaxed GaHg3As crystal.

```
5
Lattice="5.386 0.000 0.000 0.000 5.386 0.000 0.000 0.000 5.386" Properties=species:S:1:pos:R:3 pbc="T T T"
Ga 0.000 0.000 0.000
Hg 0.000 2.693 2.693
Hg 2.693 0.000 2.693
Hg 2.693 2.693 0.000
As 2.693 2.693 2.693
```

Output
energy relative to the lowest polymorph listed for this composition	0	meV per atom
crystal system	cubic
DFT formation energy	0.3542	eV per atom
energy	-1.3621	eV per atom
SG	Pm-3m, No. 221

# 8
A plane-wave DFT calculation with PBE-GGA was carried out for a relaxed GaHgAs2 crystal.

```
4
Lattice="0.000 3.468 3.468 3.468 0.000 3.468 3.468 3.468 0.000" Properties=species:S:1:pos:R:3 pbc="T T T"
Ga 0.000 0.000 0.000
Hg 3.468 3.468 3.468
As 1.734 1.734 1.734
As 5.203 5.203 5.203
```

Output
energy relative to the lowest polymorph listed for this composition	356	meV per atom
crystal system	cubic
DFT formation energy	0.3524	eV per atom
energy	-2.8045	eV per atom
SG	Fm-3m, No. 225

# 9
A plane-wave DFT calculation with PBE-GGA was carried out for a relaxed Ga12Hg3As5 crystal.

```
80
Lattice="-7.795 7.795 7.795 7.795 -7.795 7.795 7.795 7.795 -7.795" Properties=species:S:1:pos:R:3 pbc="T T T"
Ga 2.367 -0.324 1.203
Ga 9.326 5.101 -4.222
Ga 7.471 -1.203 2.367
Ga 12.017 -1.530 2.695
Ga 10.163 0.324 1.203
Ga 9.326 -2.695 4.222
Ga 1.203 2.367 -0.324
Ga 10.490 3.573 -1.530
Ga 5.101 4.222 -1.530
Ga 6.592 2.367 0.324
Ga -0.324 1.203 2.367
Ga 4.222 -1.530 5.101
Ga 7.471 6.592 -2.367
Ga 4.222 1.530 2.695
Ga 6.592 -2.367 7.471
Ga 5.101 -4.222 9.326
Ga 2.695 4.222 1.530
Ga 8.998 5.428 0.324
Ga 2.367 7.471 -1.203
Ga 9.326 2.695 3.573
Ga 4.222 9.326 -2.695
Ga 7.471 1.203 5.428
Ga 1.530 2.695 4.222
Ga 2.367 0.324 6.592
Ga 5.428 7.471 1.203
Ga 6.265 5.101 3.573
Ga 0.324 6.592 2.367
Ga 3.573 -1.530 10.490
Ga -1.530 5.101 4.222
Ga 5.428 0.324 8.998
Ga -1.203 2.367 7.471
Ga 5.101 3.573 6.265
Ga 2.695 12.017 -1.530
Ga 1.203 10.163 0.324
Ga 3.573 6.265 5.101
Ga 0.324 1.203 10.163
Ga 3.573 9.326 2.695
Ga 8.120 6.592 5.428
Ga 1.203 5.428 7.471
Ga 2.695 3.573 9.326
Ga -2.695 4.222 9.326
Ga 6.592 5.428 8.120
Ga -1.530 10.490 3.573
Ga -2.367 7.471 6.592
Ga -4.222 9.326 5.101
Ga 0.324 8.998 5.428
Ga -1.530 2.695 12.017
Ga 5.428 8.120 6.592
Hg 3.898 1.949 0.000
Hg 7.795 3.898 -1.949
Hg 1.949 0.000 3.898
Hg 9.744 0.000 3.898
Hg 0.000 3.898 1.949
Hg 3.898 -1.949 7.795
Hg 3.898 9.744 0.000
Hg 7.795 3.898 5.846
Hg -1.949 7.795 3.898
Hg 5.846 7.795 3.898
Hg 0.000 3.898 9.744
Hg 3.898 5.846 7.795
As 0.000 0.000 0.000
As 3.898 3.898 -3.898
As 3.898 -3.898 3.898
As 7.795 0.000 0.000
As 11.693 1.949 0.000
As 7.795 -3.898 5.846
As 5.846 7.795 -3.898
As 5.846 0.000 3.898
As 3.898 5.846 0.000
As 7.795 3.898 1.949
As -3.898 3.898 3.898
As 0.000 7.795 0.000
As 0.000 0.000 7.795
As 3.898 3.898 3.898
As 0.000 3.898 5.846
As 3.898 1.949 7.795
As 1.949 7.795 3.898
As 1.949 0.000 11.693
As 0.000 11.693 1.949
As -3.898 5.846 7.795
```

Output
crystal system	cubic
DFT formation energy	0.0493	eV per atom
energy	-2.9744	eV per atom
SG	Ia-3d, No. 230

# 10
A plane-wave DFT calculation with PBE-GGA was carried out for a relaxed Ga2HgAs2 crystal.

```
5
Lattice="-2.061 2.061 7.281 2.061 -2.061 7.281 2.061 2.061 -7.281" Properties=species:S:1:pos:R:3 pbc="T T T"
Ga 2.061 0.000 3.640
Ga 0.000 2.061 3.640
Hg 0.000 0.000 0.000
As 0.000 0.000 5.233
As 0.000 0.000 9.328
```

Output
energy relative to the lowest polymorph listed for this composition	0	meV per atom
crystal system	tetragonal
DFT formation energy	-0.0263	eV per atom
energy	-3.1573	eV per atom
SG	I4/mmm, No. 139

# 11
A plane-wave DFT calculation with PBE-GGA was carried out for a relaxed GaHgAs2 crystal.

```
8
Lattice="-3.016 3.016 5.779 3.016 -3.016 5.779 3.016 3.016 -5.779" Properties=species:S:1:pos:R:3 pbc="T T T"
Ga 0.000 0.000 0.000
Ga 0.000 3.016 2.889
Hg 3.016 0.000 2.889
Hg 0.000 0.000 5.779
As 4.524 1.356 -1.445
As 1.356 1.508 1.445
As -1.508 1.659 4.334
As 1.659 1.508 7.224
```

Output
energy relative to the lowest polymorph listed for this composition	0	meV per atom
crystal system	tetragonal
DFT formation energy	-0.0036	eV per atom
energy	-3.1605	eV per atom
SG	I-42d, No. 122

# 12
A plane-wave DFT calculation with PBE-GGA was carried out for a relaxed GaHg2As crystal.

```
4
Lattice="0.000 3.566 3.566 3.566 0.000 3.566 3.566 3.566 0.000" Properties=species:S:1:pos:R:3 pbc="T T T"
Ga 0.000 0.000 0.000
Hg 1.783 1.783 1.783
Hg 5.349 5.349 5.349
As 3.566 3.566 3.566
```

Output
energy relative to the lowest polymorph listed for this composition	6	meV per atom
crystal system	cubic
DFT formation energy	0.1973	eV per atom
energy	-1.8727	eV per atom
SG	Fm-3m, No. 225